1.
PBE-GGA La2Y2Er7, relaxed; space group = No. 2; ΔE_f = 0.12 eV per atom; crystal system = triclinic
1.0
-1.819 -0.115 -3.099
-7.209 -0.285 6.423
-2.649 10.464 3.289
La Y Er
2 2 7
direct
0.486 0.208 0.755
0.514 0.792 0.245
0.298 0.813 0.788
0.702 0.187 0.212
0.161 0.408 0.917
0.831 0.119 0.539
0.839 0.592 0.083
0.169 0.881 0.461
0.404 0.419 0.367
0.000 0.000 0.000
0.596 0.581 0.633


2.
PBE-GGA Pr2NpTe4, relaxed; space group = No. 63; crystal system = orthorhombic; total DFT energy (no corrections) = -43.0 eV per formula unit
1.0
4.386 0.000 0.000
-2.193 7.424 0.000
0.000 0.000 15.255
Pr Np Te
4 2 8
direct
0.134 0.268 0.431
0.866 0.732 0.931
0.134 0.268 0.069
0.866 0.732 0.569
0.622 0.244 0.750
0.378 0.756 0.250
0.779 0.558 0.127
0.779 0.558 0.373
0.221 0.442 0.873
0.221 0.442 0.627
0.969 0.937 0.750
0.031 0.063 0.250
0.500 0.000 0.000
0.500 0.000 0.500


3.
PBE-GGA As2PWBr, relaxed; space group = No. 123; crystal system = tetragonal; total DFT energy (no corrections) = -24.7 eV per formula unit
1.0
-1.334 -4.284 1.996
4.699 -0.981 1.037
-0.527 2.283 4.546
P As Br W
1 2 1 1
direct
0.500 0.500 0.500
0.000 0.500 0.000
0.500 0.000 0.000
0.000 0.000 0.500
0.000 0.000 0.000


4.
PBE-GGA Re2AgRhBr, relaxed; space group = No. 123; crystal system = tetragonal; total DFT energy (no corrections) = -27.0 eV per formula unit
1.0
4.567 0.000 0.000
0.000 4.564 0.000
0.000 0.000 4.567
Re Rh Br Ag
2 1 1 1
direct
0.000 0.000 0.500
0.500 0.000 0.000
0.000 0.500 0.000
0.000 0.000 0.000
0.500 0.500 0.500


5.
PBE-GGA NpInOsRu, relaxed; space group = No. 216; ΔE_f = 0.06 eV per atom; crystal system = cubic
1.0
-1.805 0.077 4.318
0.514 -3.702 2.818
2.833 0.263 3.716
Np Ru Os In
1 1 1 1
direct
0.000 0.000 0.000
0.750 0.750 0.750
0.250 0.250 0.250
0.500 0.500 0.500


6.
PBE-GGA PrTmCo, relaxed; space group = No. 156; ΔE_f = -0.01 eV per atom; crystal system = trigonal
1.0
6.186 0.000 0.000
0.000 3.944 0.000
0.000 -1.972 3.416
Pr Tm Co
1 1 1
direct
0.763 0.667 0.333
0.228 0.333 0.667
0.009 0.000 0.000


7.
PBE-GGA TlInMo3, relaxed; space group = No. 221; ΔE_f = 2.25 eV per atom; crystal system = cubic
1.0
-3.559 2.429 -2.379
2.308 -0.802 -4.272
-2.496 -4.205 -0.560
Tl Mo In
1 3 1
direct
0.500 0.500 0.500
0.000 0.500 0.000
0.000 0.000 0.500
0.500 0.000 0.000
0.000 0.000 0.000


8.
PBE-GGA Dy8YEr6, relaxed; space group = No. 148; ΔE_f = 0.13 eV per atom; crystal system = trigonal
1.0
8.974 0.000 0.000
4.487 7.771 0.000
4.487 2.590 6.833
Dy Y Er
8 1 6
direct
0.720 0.110 0.425
0.890 0.256 0.575
0.256 0.280 0.575
0.577 0.577 0.270
0.423 0.423 0.730
0.744 0.720 0.425
0.110 0.744 0.425
0.280 0.890 0.575
0.000 0.000 0.000
0.460 0.893 0.879
0.107 0.233 0.121
0.233 0.540 0.121
0.767 0.460 0.879
0.893 0.767 0.879
0.540 0.107 0.121


9.
PBE-GGA ZnCuP2, relaxed; space group = No. 8; ΔE_f = 0.03 eV per atom; crystal system = monoclinic
1.0
4.125 -0.008 0.015
3.266 2.520 0.015
0.326 0.111 6.368
Cu P Zn
1 2 1
direct
0.151 0.151 0.188
0.880 0.880 0.062
0.866 0.866 0.718
0.603 0.603 0.532


10.
PBE-GGA K7RbNa3, relaxed; space group = No. 156; ΔE_f = 0.05 eV per atom; crystal system = trigonal
1.0
-0.509 -7.721 -2.382
3.513 2.628 -9.268
6.567 -2.714 7.393
K Rb Na
7 1 3
direct
0.016 0.843 0.686
0.016 0.314 0.157
0.208 0.333 0.667
0.493 0.138 0.276
0.493 0.138 0.862
0.493 0.724 0.862
0.016 0.843 0.157
0.508 0.667 0.333
0.792 0.451 0.901
0.792 0.099 0.549
0.792 0.451 0.549


11.
PBE-GGA Tl6GaAu4, relaxed; space group = No. 186; ΔE_f = -0.05 eV per atom; crystal system = hexagonal
1.0
6.909 0.000 0.000
0.000 8.601 -4.966
0.000 0.000 9.932
Tl Ga Au
12 2 8
direct
0.452 0.739 0.869
0.452 0.131 0.261
0.452 0.131 0.869
0.952 0.261 0.131
0.952 0.869 0.739
0.952 0.869 0.131
0.639 0.946 0.473
0.639 0.527 0.054
0.639 0.527 0.473
0.139 0.054 0.527
0.139 0.473 0.946
0.139 0.473 0.527
0.758 0.333 0.667
0.258 0.667 0.333
0.392 0.333 0.667
0.892 0.667 0.333
0.857 0.624 0.812
0.857 0.188 0.376
0.857 0.188 0.812
0.357 0.376 0.188
0.357 0.812 0.624
0.357 0.812 0.188


12.
PBE-GGA PmEr2Th, relaxed; space group = No. 123; ΔE_f = 0.02 eV per atom; crystal system = tetragonal
1.0
3.572 0.000 0.000
0.000 3.572 0.000
0.000 0.000 10.009
Pm Th Er
1 1 2
direct
0.500 0.500 0.500
0.500 0.500 0.000
0.000 0.000 0.758
0.000 0.000 0.242


| no. | Fermi-level density of states (states/eV/cell) |
| --- | --- |
| 1 | 14.5 |
| 2 | 22.3 |
| 3 | 1.9 |
| 4 | 5.8 |
| 5 | 4.5 |
| 6 | 2.7 |
| 7 | 6.6 |
| 8 | 23.8 |
| 9 | 0.9 |
| 10 | 6.2 |
| 11 | 7.8 |
| 12 | 4.6 |